1.
Computed, not measured: crystalline Tb4Nd6Sm at its relaxed geometry at the GGA-PBE level of DFT.

Properties
* DFT formation energy: 3.9 eV/f.u.
* energy relative to the lowest polymorph listed for this composition: 0.0 meV per atom

Geometry as CIF:
```
data_Tb4Nd6Sm
_symmetry_space_group_name_H-M 'I -4 2 m'
_symmetry_Int_Tables_number 121
_symmetry_space_group_name_Hall 'I -4 2'
_cell_length_a 7.606
_cell_length_b 7.606
_cell_length_c 13.638
_cell_angle_alpha 90.00
_cell_angle_beta 90.00
_cell_angle_gamma 90.00
loop_
_atom_site_label
_atom_site_type_symbol
_atom_site_fract_x
_atom_site_fract_y
_atom_site_fract_z
Tb1 Tb 0.165 0.165 0.420
Nd1 Nd 0.000 0.500 0.000
Nd2 Nd 0.228 0.228 0.188
Sm1 Sm 0.000 0.000 0.000
```

2.
Computed, not measured: crystalline Tb4Nd2Sm5 at its relaxed geometry at the GGA-PBE level of DFT.

Properties
* DFT formation energy: 2.1 eV/f.u.
* energy relative to the lowest polymorph listed for this composition: 51.5 meV per atom

Geometry as CIF:
```
data_Tb4Nd2Sm5
_symmetry_space_group_name_H-M 'I m m m'
_symmetry_Int_Tables_number 71
_symmetry_space_group_name_Hall '-I 2 2'
_cell_length_a 3.538
_cell_length_b 9.187
_cell_length_c 23.521
_cell_angle_alpha 90.00
_cell_angle_beta 90.00
_cell_angle_gamma 90.00
loop_
_atom_site_label
_atom_site_type_symbol
_atom_site_fract_x
_atom_site_fract_y
_atom_site_fract_z
Tb1 Tb 0.000 0.000 0.097
Tb2 Tb 0.000 0.309 0.500
Nd1 Nd 0.000 0.000 0.232
Sm1 Sm 0.000 0.197 0.356
Sm2 Sm 0.000 0.500 0.000
```

3.
Computed, not measured: crystalline Tb2Nd5Sm6 at its relaxed geometry at the GGA-PBE level of DFT.

Properties
* DFT formation energy: 1.2 eV/f.u.

Geometry as CIF:
```
data_Tb2Nd5Sm6
_symmetry_space_group_name_H-M 'P b a m'
_symmetry_Int_Tables_number 55
_symmetry_space_group_name_Hall '-P 2 2ab'
_cell_length_a 11.824
_cell_length_b 20.842
_cell_length_c 3.648
_cell_angle_alpha 90.00
_cell_angle_beta 90.00
_cell_angle_gamma 90.00
loop_
_atom_site_label
_atom_site_type_symbol
_atom_site_fract_x
_atom_site_fract_y
_atom_site_fract_z
Tb1 Tb 0.171 0.212 0.000
Nd1 Nd 0.000 0.500 0.500
Nd2 Nd 0.085 0.774 0.500
Nd3 Nd 0.199 0.053 0.500
Sm1 Sm 0.061 0.920 0.000
Sm2 Sm 0.081 0.632 0.000
Sm3 Sm 0.176 0.363 0.500
```